1.
## Cr2InSi (PBE-GGA)

Data for a geometry-optimized Cr2InSi structure.

Cell lengths 4.651, 4.651, 2.913 Å; angles 89.95, 89.95, 102.95 degrees
Atoms (fractional coordinates):
Cr 0.000 0.000 0.000
Cr 0.500 0.500 0.000
In 0.500 0.000 0.500
Si 0.000 0.500 0.500

Values from the calculation:
raw formation energy: 0.373 eV/atom
crystal system: orthorhombic

2.
## CrInSi2 (PBE-GGA)

Data for a geometry-optimized CrInSi2 structure.

Cell lengths 4.326, 4.326, 5.329 Å; angles 79.60, 79.60, 42.99 degrees
Atoms (fractional coordinates):
Cr 0.750 0.750 0.750
In 0.250 0.250 0.250
Si 0.022 0.022 0.913
Si 0.478 0.478 0.587

Values from the calculation:
raw formation energy: 0.234 eV/atom
energy above the lowest structure with this stoichiometry: 0.101 eV per atom
crystal system: monoclinic

3.
## CrInSi2 (PBE-GGA)

Data for a geometry-optimized CrInSi2 structure.

Cell lengths 4.326, 4.326, 5.992 Å; angles 60.14, 60.14, 44.02 degrees
Atoms (fractional coordinates):
Cr 0.446 0.446 0.728
In 0.193 0.193 0.266
Si 0.068 0.068 0.916
Si 0.792 0.792 0.589

Values from the calculation:
raw formation energy: 0.139 eV/atom
energy above the lowest structure with this stoichiometry: 0.006 eV per atom
crystal system: monoclinic

4.
## Cr2InSi (PBE-GGA)

Data for a geometry-optimized Cr2InSi structure.

Cell lengths 3.120, 3.120, 6.781 Å; angles 62.60, 90.00, 90.00 degrees
Atoms (fractional coordinates):
Cr 0.000 0.070 0.930
Cr 0.000 0.430 0.570
In 0.500 0.250 0.250
Si 0.500 0.750 0.750

Values from the calculation:
raw formation energy: 0.167 eV/atom
crystal system: tetragonal

5.
## CrIn3Si (PBE-GGA)

Data for a geometry-optimized CrIn3Si structure.

Cell lengths 5.213, 5.213, 5.213 Å; angles 90.00, 90.00, 90.00 degrees
Atoms (fractional coordinates):
Cr 0.500 0.500 0.500
Si 0.000 0.000 0.000
In 0.000 0.500 0.000
In 0.000 0.000 0.500
In 0.500 0.000 0.000

Values from the calculation:
raw formation energy: 0.799 eV/atom
energy above the lowest structure with this stoichiometry: 0.000 eV per atom
crystal system: cubic

6.
## CrInSi2 (PBE-GGA)

Data for a geometry-optimized CrInSi2 structure.

Cell lengths 4.265, 4.265, 8.833 Å; angles 76.03, 76.03, 90.00 degrees
Atoms (fractional coordinates):
Cr 0.500 0.500 0.000
Cr 0.250 0.750 0.500
Si 0.522 0.125 0.250
Si 0.228 0.625 0.250
Si 0.375 0.478 0.750
Si 0.875 0.772 0.750
In 0.000 0.000 0.000
In 0.750 0.250 0.500

Values from the calculation:
raw formation energy: 0.395 eV/atom
energy above the lowest structure with this stoichiometry: 0.261 eV per atom
crystal system: tetragonal

7.
## CrInSi2 (PBE-GGA)

Data for a geometry-optimized CrInSi2 structure.

Cell lengths 3.001, 2.912, 7.769 Å; angles 89.99, 90.00, 90.00 degrees
Atoms (fractional coordinates):
Cr 0.500 0.250 0.250
In 0.500 0.750 0.750
Si 0.000 0.750 0.078
Si 0.000 0.750 0.422

Values from the calculation:
raw formation energy: 0.133 eV/atom
energy above the lowest structure with this stoichiometry: 0.000 eV per atom
crystal system: orthorhombic

8.
## Cr2InSi (PBE-GGA)

Data for a geometry-optimized Cr2InSi structure.

Cell lengths 8.397, 8.397, 8.397 Å; angles 20.78, 20.78, 20.78 degrees
Atoms (fractional coordinates):
Cr 0.011 0.011 0.011
Cr 0.489 0.489 0.489
In 0.250 0.250 0.250
Si 0.750 0.750 0.750

Values from the calculation:
raw formation energy: 0.348 eV/atom
crystal system: trigonal

9.
## Cr2InSi2 (PBE-GGA)

Data for a geometry-optimized Cr2InSi2 structure.

Cell lengths 7.217, 7.217, 2.705 Å; angles 90.00, 90.00, 90.00 degrees
Atoms (fractional coordinates):
Cr 0.157 0.657 0.500
Cr 0.657 0.843 0.500
Cr 0.843 0.343 0.500
Cr 0.343 0.157 0.500
Si 0.367 0.867 0.000
Si 0.867 0.633 0.000
Si 0.633 0.133 0.000
Si 0.133 0.367 0.000
In 0.000 0.000 0.000
In 0.500 0.500 0.000

Values from the calculation:
raw formation energy: 0.138 eV/atom
energy above the lowest structure with this stoichiometry: 0.055 eV per atom
crystal system: tetragonal

10.
## CrInSi2 (PBE-GGA)

Data for a geometry-optimized CrInSi2 structure.

Cell lengths 3.992, 3.397, 5.076 Å; angles 70.41, 90.00, 90.00 degrees
Atoms (fractional coordinates):
Cr 0.000 0.318 0.489
In 0.500 0.717 0.691
Si 0.000 0.015 0.094
Si 0.500 0.450 0.226

Values from the calculation:
raw formation energy: 0.292 eV/atom
energy above the lowest structure with this stoichiometry: 0.159 eV per atom
crystal system: orthorhombic

11.
## Cr2InSi (PBE-GGA)

Data for a geometry-optimized Cr2InSi structure.

Cell lengths 3.863, 3.863, 9.277 Å; angles 77.98, 77.98, 90.00 degrees
Atoms (fractional coordinates):
Cr 0.524 0.125 0.250
Cr 0.226 0.625 0.250
Cr 0.375 0.476 0.750
Cr 0.875 0.774 0.750
Si 0.500 0.500 0.000
Si 0.250 0.750 0.500
In 0.000 0.000 0.000
In 0.750 0.250 0.500

Values from the calculation:
raw formation energy: 0.639 eV/atom
crystal system: tetragonal

12.
## Cr2InSi (PBE-GGA)

Data for a geometry-optimized Cr2InSi structure.

Cell lengths 5.032, 5.032, 5.032 Å; angles 135.91, 135.91, 64.11 degrees
Atoms (fractional coordinates):
Cr 0.000 0.000 0.000
Cr 0.250 0.750 0.500
In 0.500 0.500 0.000
Si 0.750 0.250 0.500

Values from the calculation:
raw formation energy: 0.382 eV/atom
crystal system: tetragonal

- Among the records above, which one has the highest raw formation energy?
  CrIn3Si

What did the sixth record say?
## CrInSi2 (PBE-GGA)

Data for a geometry-optimized CrInSi2 structure.

Cell lengths 4.265, 4.265, 8.833 Å; angles 76.03, 76.03, 90.00 degrees
Atoms (fractional coordinates):
Cr 0.500 0.500 0.000
Cr 0.250 0.750 0.500
Si 0.522 0.125 0.250
Si 0.228 0.625 0.250
Si 0.375 0.478 0.750
Si 0.875 0.772 0.750
In 0.000 0.000 0.000
In 0.750 0.250 0.500

Values from the calculation:
raw formation energy: 0.395 eV/atom
energy above the lowest structure with this stoichiometry: 0.261 eV per atom
crystal system: tetragonal

- Which of these has the highest raw formation energy?
  CrIn3Si

- Among the records above, which one has the highest raw formation energy?
  CrIn3Si